Record 1
## UBIr (PBE)

Data for a relaxed UBIr crystal.

```
UBIr
1.0
-0.5668 3.5213 -0.7252
-3.0383 -0.8616 -1.8091
-3.4198 0.5759 5.4691
Ir B U
2 2 2
Cartesian
-0.7179 1.8338 0.3322
-4.5045 0.0720 3.8697
-2.1550 -0.3237 0.1123
-3.0674 2.2295 4.0896
-3.5125 1.6178 1.4674
-1.7099 0.2880 2.7345
```

Results
Spin magnetization in μB per cell: 0.59
Theoretical density in g/cm³: 17.07
Crystal system: tetragonal
Volume in Å³ per cell: 85.79
Energy of formation from the pure elements in meV/atom: 149
Excess energy over the best structure of this formula in the dataset in meV per atom: 305



Record 2
## U2B7Ir12 (PBE)

Data for a relaxed U2B7Ir12 crystal.

```
U2B7Ir12
1.0
-0.0632 1.4353 -3.5049
3.0416 -7.8997 -3.2897
-8.9312 1.4654 0.7611
B Ir U
7 12 2
Cartesian
-6.3487 -2.9961 -5.1263
-0.5842 -6.0975 -4.5162
-3.0821 -3.3801 -3.3584
-6.8917 2.1870 -2.9941
-1.7662 0.0609 -3.9572
0.7241 -2.7203 -3.1568
-4.9553 -1.3163 -1.4193
-3.1381 -0.1716 -1.9984
-4.8135 1.6273 -3.3059
-1.3610 -2.0850 -2.8359
0.9255 -5.8073 -6.4318
-4.2791 -3.7076 -5.4781
-3.3582 -1.3042 -4.5325
-6.8368 -1.0226 -4.3545
0.3190 -0.5739 -4.2778
-5.1603 -2.8198 -3.0463
1.0733 -4.7520 -3.9719
-2.6535 -5.3854 -4.1641
-6.6146 0.1099 -1.8204
-5.9201 -5.7399 -4.2243
-1.0121 -3.3535 -5.4182
```

Results
Spin magnetization in μB per cell: 0.00
Theoretical density in g/cm³: 17.54
Crystal system: trigonal
Volume in Å³ per cell: 270.59
Energy of formation from the pure elements in meV/atom: -374



Record 3
## UB2Ir4 (PBE)

Data for a relaxed UB2Ir4 crystal.

```
UB2Ir4
1.0
-4.1953 -0.5415 -3.6942
0.5905 -0.1157 -4.8952
1.4773 -4.1553 3.4773
Ir B U
4 2 1
Cartesian
0.6776 -1.8812 -2.0187
-1.4567 -0.6014 -2.9857
-0.6707 -4.2111 -2.1263
-2.8050 -2.9313 -3.0932
-0.6109 -2.7694 -0.3667
-1.5165 -2.0431 -4.7453
0.0000 0.0000 0.0000
```

Results
Spin magnetization in μB per cell: 0.00
Theoretical density in g/cm³: 17.00
Crystal system: monoclinic
Volume in Å³ per cell: 100.48
Energy of formation from the pure elements in meV/atom: -134